# 1
First-principles (GGA-PBE) data for a relaxed In3Ag6Hg crystal, as listed in Alexandria.

Cell lengths 5.8755, 8.7333, 8.7333 Å; angles 107.02, 90.00, 90.00 degrees
Closest atoms and distances in Å follow each position.
Atoms (fractional coordinates):
In1 0.5164 0.8608 0.7139  7 Ag 2.84-3.05, 1 In 3.14
In2 0.0164 0.7139 0.8608  7 Ag 2.84-3.05, 1 In 3.14
In3 0.1741 0.4074 0.5926  4 Ag 2.96-3.02, 2 In 3.14, 1 Hg 3.14
In4 0.6741 0.5926 0.4074  4 Ag 2.96-3.02, 2 In 3.14, 1 Hg 3.14
In5 0.0164 0.1392 0.2861  7 Ag 2.84-3.05, 1 In 3.14
In6 0.5164 0.2861 0.1392  7 Ag 2.84-3.05, 1 In 3.14
Ag1 0.1155 0.7325 0.5415  4 In 2.84-3.02, 4 Ag 2.85-2.95
Ag2 0.6155 0.5415 0.7325  4 In 2.84-3.02, 4 Ag 2.85-2.95
Ag3 0.3139 0.5087 0.9828  6 Ag 2.89-3.02, 2 In 2.92-2.94, 2 Hg 3.10-3.12
Ag4 0.8139 0.9828 0.5087  6 Ag 2.89-3.02, 2 In 2.92-2.94, 2 Hg 3.10-3.12
Ag5 0.2864 0.9850 0.0150  4 In 2.84-2.87, 2 Hg 2.93-3.14, 3 Ag 2.97-3.17
Ag6 0.5692 0.2216 0.7784  2 Hg 2.94-3.00, 7 Ag 2.95-3.17, 2 In 3.05
Ag7 0.0692 0.7784 0.2216  2 Hg 2.94-3.00, 7 Ag 2.95-3.17, 2 In 3.05
Ag8 0.7864 0.0150 0.9850  4 In 2.84-2.87, 2 Hg 2.93-3.14, 3 Ag 2.97-3.17
Ag9 0.3139 0.0173 0.4913  6 Ag 2.89-3.02, 2 In 2.92-2.94, 2 Hg 3.10-3.12
Ag10 0.8139 0.4913 0.0173  6 Ag 2.89-3.02, 2 In 2.92-2.94, 2 Hg 3.10-3.12
Ag11 0.1155 0.4585 0.2675  4 In 2.84-3.02, 4 Ag 2.85-2.95
Ag12 0.6155 0.2675 0.4585  4 In 2.84-3.02, 4 Ag 2.85-2.95
Hg1 0.0640 0.1885 0.8115  8 Ag 2.93-3.14, 1 In 3.14
Hg2 0.5640 0.8115 0.1885  8 Ag 2.93-3.14, 1 In 3.14

## Properties
Symmetry ... Cmc2_1, No. 36
VASP energy ... -49.97 eV per cell
Excess energy over the best structure of this formula in the dataset ... 0.0387 eV per atom
Formation enthalpy at 0 K ... 0.064 eV/atom
Total moment ... 0.0 μB/f.u.



# 2
First-principles (GGA-PBE) data for a relaxed PmPr6Er2Sc crystal, as listed in Alexandria.

Cell lengths 9.5124, 8.9752, 8.9752 Å; angles 116.84, 93.40, 93.40 degrees
Closest atoms and distances in Å follow each position.
Atoms (fractional coordinates):
Pm1 0.2500 0.9723 0.0277  4 Er 3.41-3.52, 6 Pr 3.59-3.75
Pm2 0.7500 0.0277 0.9723  4 Er 3.41-3.52, 6 Pr 3.59-3.75
Pr1 0.0526 0.1167 0.7658  7 Pr 3.51-3.81, 1 Er 3.53, 2 Pm 3.64-3.75
Pr2 0.4474 0.2342 0.8833  7 Pr 3.51-3.81, 1 Er 3.53, 2 Pm 3.64-3.75
Pr3 0.9474 0.8833 0.2342  7 Pr 3.51-3.81, 1 Er 3.53, 2 Pm 3.64-3.75
Pr4 0.5526 0.7658 0.1167  7 Pr 3.51-3.81, 1 Er 3.53, 2 Pm 3.64-3.75
Pr5 0.3065 0.0108 0.4436  4 Pr 3.37-3.70, 1 Sc 3.40, 1 Er 3.47, 1 Pm 3.59
Pr6 0.1935 0.5564 0.9892  4 Pr 3.37-3.70, 1 Sc 3.40, 1 Er 3.47, 1 Pm 3.59
Pr7 0.6935 0.9892 0.5564  4 Pr 3.37-3.70, 1 Sc 3.40, 1 Er 3.47, 1 Pm 3.59
Pr8 0.8065 0.4436 0.0108  4 Pr 3.37-3.70, 1 Sc 3.40, 1 Er 3.47, 1 Pm 3.59
Pr9 0.1127 0.7060 0.4830  3 Er 3.29-3.50, 4 Pr 3.32-3.62, 2 Sc 3.36-3.50
Pr10 0.3873 0.5170 0.2940  3 Er 3.29-3.50, 4 Pr 3.32-3.62, 2 Sc 3.36-3.50
Pr11 0.8873 0.2940 0.5170  3 Er 3.29-3.50, 4 Pr 3.32-3.62, 2 Sc 3.36-3.50
Pr12 0.6127 0.4830 0.7060  3 Er 3.29-3.50, 4 Pr 3.32-3.62, 2 Sc 3.36-3.50
Er1 0.4494 0.7940 0.6995  5 Pr 3.29-3.53, 2 Pm 3.41-3.52, 1 Sc 3.43
Er2 0.0506 0.3005 0.2060  5 Pr 3.29-3.53, 2 Pm 3.41-3.52, 1 Sc 3.43
Er3 0.5506 0.2060 0.3005  5 Pr 3.29-3.53, 2 Pm 3.41-3.52, 1 Sc 3.43
Er4 0.9494 0.6995 0.7940  5 Pr 3.29-3.53, 2 Pm 3.41-3.52, 1 Sc 3.43
Sc1 0.2500 0.4201 0.5799  6 Pr 3.36-3.50, 2 Er 3.43
Sc2 0.7500 0.5799 0.4201  6 Pr 3.36-3.50, 2 Er 3.43

## Properties
Symmetry ... C2/c, No. 15
VASP energy ... -95.25 eV per cell
Formation enthalpy at 0 K ... 0.126 eV/atom
Total moment ... 0.0 μB/f.u.



# 3
First-principles (GGA-PBE) data for a relaxed Pr6IrPb2 crystal, as listed in Alexandria.

Cell lengths 6.5285, 8.7164, 10.6021 Å; angles 90.00, 90.84, 90.00 degrees
Closest atoms and distances in Å follow each position.
Atoms (fractional coordinates):
Pr1 0.8921 0.9712 0.2442  1 Ir 2.80
Pr2 0.8656 0.6869 0.5497  1 Ir 2.92
Pr3 0.8682 0.6718 0.9505  1 Ir 2.89
Pr4 0.6318 0.1718 0.5495  1 Ir 2.89
Pr5 0.6344 0.1869 0.9503  1 Ir 2.92
Pr6 0.6079 0.4712 0.2558  1 Ir 2.80
Pr7 0.1079 0.0288 0.7558  1 Ir 2.80
Pr8 0.1344 0.3131 0.4503  1 Ir 2.92
Pr9 0.1318 0.3282 0.0495  1 Ir 2.89
Pr10 0.3682 0.8282 0.4505  1 Ir 2.89
Pr11 0.3656 0.8131 0.0497  1 Ir 2.92
Pr12 0.3921 0.5288 0.7442  1 Ir 2.80
Ir1 0.5000 0.5000 0.0000  6 Pr 2.80-2.92
Ir2 0.0000 0.0000 0.5000  6 Pr 2.80-2.92
Pb1 0.9185 0.3870 0.7437  9 Pr 3.33-3.65
Pb2 0.5815 0.8870 0.7563  9 Pr 3.33-3.65
Pb3 0.4185 0.1130 0.2437  9 Pr 3.33-3.65
Pb4 0.0815 0.6130 0.2563  9 Pr 3.33-3.65

## Properties
Symmetry ... P2_1/c, No. 14
VASP energy ... -97.23 eV per cell
Formation enthalpy at 0 K ... -0.407 eV/atom
Total moment ... 0.0 μB/f.u.



formation enthalpy at 0 K of number 2 (PmPr6Er2Sc)? 0.126 eV/atom



Repeat the third record exactly.
First-principles (GGA-PBE) data for a relaxed Pr6IrPb2 crystal, as listed in Alexandria.

Cell lengths 6.5285, 8.7164, 10.6021 Å; angles 90.00, 90.84, 90.00 degrees
Closest atoms and distances in Å follow each position.
Atoms (fractional coordinates):
Pr1 0.8921 0.9712 0.2442  1 Ir 2.80
Pr2 0.8656 0.6869 0.5497  1 Ir 2.92
Pr3 0.8682 0.6718 0.9505  1 Ir 2.89
Pr4 0.6318 0.1718 0.5495  1 Ir 2.89
Pr5 0.6344 0.1869 0.9503  1 Ir 2.92
Pr6 0.6079 0.4712 0.2558  1 Ir 2.80
Pr7 0.1079 0.0288 0.7558  1 Ir 2.80
Pr8 0.1344 0.3131 0.4503  1 Ir 2.92
Pr9 0.1318 0.3282 0.0495  1 Ir 2.89
Pr10 0.3682 0.8282 0.4505  1 Ir 2.89
Pr11 0.3656 0.8131 0.0497  1 Ir 2.92
Pr12 0.3921 0.5288 0.7442  1 Ir 2.80
Ir1 0.5000 0.5000 0.0000  6 Pr 2.80-2.92
Ir2 0.0000 0.0000 0.5000  6 Pr 2.80-2.92
Pb1 0.9185 0.3870 0.7437  9 Pr 3.33-3.65
Pb2 0.5815 0.8870 0.7563  9 Pr 3.33-3.65
Pb3 0.4185 0.1130 0.2437  9 Pr 3.33-3.65
Pb4 0.0815 0.6130 0.2563  9 Pr 3.33-3.65

## Properties
Symmetry ... P2_1/c, No. 14
VASP energy ... -97.23 eV per cell
Formation enthalpy at 0 K ... -0.407 eV/atom
Total moment ... 0.0 μB/f.u.